DFT (PBE) results for Li3Dy2Tl4 after structural relaxation.

distance to the lowest polymorph of the same formula = 13 meV/atom

a = 8.714 Å, b = 8.714 Å, c = 7.997 Å
α = 90.00°, β = 90.00°, γ = 136.48°
Sites, in units of the cell vectors:
Li (0.000, 0.000, 0.000)
Li (0.022, 0.478, 0.250)
Li (0.478, 0.022, 0.750)
Li (0.500, 0.500, 0.500)
Li (0.522, 0.978, 0.250)
Li (0.978, 0.522, 0.750)
Dy (0.110, 0.890, 0.417)
Dy (0.390, 0.610, 0.917)
Dy (0.610, 0.390, 0.083)
Dy (0.890, 0.110, 0.583)
Tl (0.174, 0.826, 0.034)
Tl (0.198, 0.302, 0.250)
Tl (0.302, 0.198, 0.750)
Tl (0.326, 0.674, 0.534)
Tl (0.674, 0.326, 0.466)
Tl (0.698, 0.802, 0.250)
Tl (0.802, 0.698, 0.750)
Tl (0.826, 0.174, 0.966)

=====

DFT (PBE) results for Li5Dy4Tl6 after structural relaxation.

a = 12.068 Å, b = 12.068 Å, c = 12.987 Å
α = 90.00°, β = 90.00°, γ = 157.14°
Sites, in units of the cell vectors:
Li (0.026, 0.974, 0.500)
Li (0.158, 0.842, 0.448)
Li (0.169, 0.831, 0.838)
Li (0.223, 0.777, 0.069)
Li (0.326, 0.674, 0.501)
Li (0.674, 0.326, 0.001)
Li (0.777, 0.223, 0.569)
Li (0.831, 0.169, 0.338)
Li (0.842, 0.158, 0.948)
Li (0.974, 0.026, 0.000)
Dy (0.334, 0.666, 0.759)
Dy (0.363, 0.637, 0.143)
Dy (0.441, 0.559, 0.379)
Dy (0.479, 0.521, 0.641)
Dy (0.521, 0.479, 0.141)
Dy (0.559, 0.441, 0.879)
Dy (0.637, 0.363, 0.643)
Dy (0.666, 0.334, 0.259)
Tl (0.062, 0.938, 0.717)
Tl (0.070, 0.930, 0.278)
Tl (0.100, 0.900, 0.032)
Tl (0.223, 0.777, 0.630)
Tl (0.258, 0.742, 0.309)
Tl (0.425, 0.575, 0.935)
Tl (0.575, 0.425, 0.435)
Tl (0.742, 0.258, 0.809)
Tl (0.777, 0.223, 0.130)
Tl (0.900, 0.100, 0.532)
Tl (0.930, 0.070, 0.778)
Tl (0.938, 0.062, 0.217)

=====

DFT (PBE) results for LiDy5Tl4 after structural relaxation.

a = 3.636 Å, b = 3.636 Å, c = 20.243 Å
α = 90.00°, β = 90.00°, γ = 90.00°
Sites, in units of the cell vectors:
Li (0.000, 0.000, 0.000)
Dy (0.500, 0.500, 0.093)
Dy (0.500, 0.500, 0.294)
Dy (0.500, 0.500, 0.500)
Dy (0.500, 0.500, 0.706)
Dy (0.500, 0.500, 0.907)
Tl (0.000, 0.000, 0.190)
Tl (0.000, 0.000, 0.397)
Tl (0.000, 0.000, 0.603)
Tl (0.000, 0.000, 0.810)

=====

DFT (PBE) results for Li2DyTl3 after structural relaxation.

distance to the lowest polymorph of the same formula = 0 meV/atom

a = 5.085 Å, b = 5.085 Å, c = 12.642 Å
α = 90.00°, β = 90.00°, γ = 120.00°
Sites, in units of the cell vectors:
Li (0.000, 0.000, 0.000)
Li (0.000, 0.000, 0.500)
Li (0.333, 0.667, 0.167)
Li (0.667, 0.333, 0.833)
Dy (0.333, 0.667, 0.667)
Dy (0.667, 0.333, 0.333)
Tl (0.000, 0.000, 0.234)
Tl (0.000, 0.000, 0.766)
Tl (0.333, 0.667, 0.417)
Tl (0.333, 0.667, 0.926)
Tl (0.667, 0.333, 0.074)
Tl (0.667, 0.333, 0.583)

=====

| no. | formation energy from the elements (eV/f.u.) | density of states at the Fermi level (states/eV/f.u.) |
| --- | --- | --- |
| 1 | -2.182 | 5.282 |
| 2 | -3.665 | 6.587 |
| 3 | -2.627 | 6.409 |
| 4 | -1.654 | 3.073 |